Computed, not measured: an optimized crystal structure of CoMo2Os at the GGA-PBE level of DFT.

Calculated values
E above lowest polymorph: 0.043 eV per atom
crystal system: orthorhombic
uncorrected energy: -39.69 eV per formula unit
ΔE_f: 30 kJ/mol of formula units

```
data_CoMo2Os
_cell_length_a 2.7587
_cell_length_b 4.3747
_cell_length_c 4.7144
_cell_angle_alpha 90.00
_cell_angle_beta 90.00
_cell_angle_gamma 90.00
_space_group_name_H-M_alt 'P m m 2'
_space_group_IT_number 25
loop_
_space_group_symop_operation_xyz
'x,y,z'
'-x,-y,z'
'-x,y,z'
'x,-y,z'
loop_
_atom_site_label
_atom_site_fract_x
_atom_site_fract_y
_atom_site_fract_z
Co1 0.0000 0.0000 0.0000
Mo1 0.5000 0.0000 0.5075
Mo2 0.5000 0.5000 0.8632
Os1 0.0000 0.5000 0.3500
```

Computed, not measured: an optimized crystal structure of CoMo2Os at the GGA-PBE level of DFT.

Calculated values
E above lowest polymorph: 0.041 eV per atom
crystal system: tetragonal
uncorrected energy: -39.69 eV per formula unit
ΔE_f: 29 kJ/mol of formula units

```
data_CoMo2Os
_cell_length_a 2.7422
_cell_length_b 2.7422
_cell_length_c 7.5215
_cell_angle_alpha 90.00
_cell_angle_beta 90.00
_cell_angle_gamma 90.00
_space_group_name_H-M_alt 'P 4/m m m'
_space_group_IT_number 123
_space_group_name_Hall '-P 4 2'
loop_
_atom_site_label
_atom_site_fract_x
_atom_site_fract_y
_atom_site_fract_z
Co1 0.0000 0.0000 0.0000
Mo1 0.5000 0.5000 0.2392
Os1 0.0000 0.0000 0.5000
```

Computed, not measured: an optimized crystal structure of Co2Mo2Os at the GGA-PBE level of DFT.

Calculated values
crystal system: tetragonal
uncorrected energy: -46.63 eV per formula unit
ΔE_f: 45 kJ/mol of formula units

```
data_Co2Mo2Os
_cell_length_a 6.6615
_cell_length_b 6.6615
_cell_length_c 3.0074
_cell_angle_alpha 90.00
_cell_angle_beta 90.00
_cell_angle_gamma 90.00
_space_group_name_H-M_alt 'P 4/m b m'
_space_group_IT_number 127
_space_group_name_Hall '-P 4 2ab'
loop_
_atom_site_label
_atom_site_fract_x
_atom_site_fract_y
_atom_site_fract_z
Co1 0.1245 0.3755 0.0000
Mo1 0.1768 0.6768 0.5000
Os1 0.0000 0.0000 0.0000
```

Computed, not measured: an optimized crystal structure of CoMo2Os at the GGA-PBE level of DFT.

Calculated values
E above lowest polymorph: 0.005 eV per atom
crystal system: tetragonal
uncorrected energy: -39.84 eV per formula unit
ΔE_f: 16 kJ/mol of formula units

```
data_CoMo2Os
_cell_length_a 3.8492
_cell_length_b 3.8492
_cell_length_c 3.8084
_cell_angle_alpha 90.00
_cell_angle_beta 90.00
_cell_angle_gamma 90.00
_space_group_name_H-M_alt 'P 4/m m m'
_space_group_IT_number 123
_space_group_name_Hall '-P 4 2'
loop_
_atom_site_label
_atom_site_fract_x
_atom_site_fract_y
_atom_site_fract_z
Co1 0.0000 0.0000 0.0000
Mo1 0.0000 0.5000 0.5000
Os1 0.5000 0.5000 0.0000
```

Computed, not measured: an optimized crystal structure of CoMo2Os at the GGA-PBE level of DFT.

Calculated values
E above lowest polymorph: 0.044 eV per atom
crystal system: monoclinic
uncorrected energy: -39.68 eV per formula unit
ΔE_f: 30 kJ/mol of formula units

```
data_CoMo2Os
_cell_length_a 2.7380
_cell_length_b 3.8280
_cell_length_c 5.4122
_cell_angle_alpha 90.00
_cell_angle_beta 90.08
_cell_angle_gamma 90.00
_space_group_name_H-M_alt 'P 1 2/m 1'
_space_group_IT_number 10
loop_
_space_group_symop_operation_xyz
'x,y,z'
'-x,-y,-z'
'-x,y,-z'
'x,-y,z'
loop_
_atom_site_label
_atom_site_fract_x
_atom_site_fract_y
_atom_site_fract_z
Co1 0.0000 0.0000 0.0000
Mo1 0.4993 0.5000 0.2442
Os1 0.0000 0.0000 0.5000
```

Computed, not measured: an optimized crystal structure of CoMo2Os at the GGA-PBE level of DFT.

Calculated values
E above lowest polymorph: 0.249 eV per atom
crystal system: cubic
uncorrected energy: -38.86 eV per formula unit
ΔE_f: 110 kJ/mol of formula units

```
data_CoMo2Os
_cell_length_a 6.1497
_cell_length_b 6.1497
_cell_length_c 6.1497
_cell_angle_alpha 90.00
_cell_angle_beta 90.00
_cell_angle_gamma 90.00
_space_group_name_H-M_alt 'F m -3 m'
_space_group_IT_number 225
_space_group_name_Hall '-F 4 2 3'
loop_
_atom_site_label
_atom_site_fract_x
_atom_site_fract_y
_atom_site_fract_z
Co1 0.0000 0.0000 0.0000
Mo1 0.2500 0.2500 0.2500
Os1 0.0000 0.0000 0.5000
```

Computed, not measured: an optimized crystal structure of CoMo2Os at the GGA-PBE level of DFT.

Calculated values
E above lowest polymorph: 0.132 eV per atom
crystal system: tetragonal
uncorrected energy: -39.33 eV per formula unit
ΔE_f: 65 kJ/mol of formula units

```
data_CoMo2Os
_cell_length_a 2.7094
_cell_length_b 2.7094
_cell_length_c 7.7417
_cell_angle_alpha 90.00
_cell_angle_beta 90.00
_cell_angle_gamma 90.00
_space_group_name_H-M_alt 'P 4 m m'
_space_group_IT_number 99
loop_
_space_group_symop_operation_xyz
'x,y,z'
'-y,x,z'
'-x,-y,z'
'y,-x,z'
'-x,y,z'
'y,x,z'
'x,-y,z'
'-y,-x,z'
loop_
_atom_site_label
_atom_site_fract_x
_atom_site_fract_y
_atom_site_fract_z
Co1 0.0000 0.0000 0.0000
Mo1 0.0000 0.0000 0.5202
Mo2 0.5000 0.5000 0.2340
Os1 0.5000 0.5000 0.7749
```

Computed, not measured: an optimized crystal structure of CoMo2Os at the GGA-PBE level of DFT.

Calculated values
E above lowest polymorph: 0.208 eV per atom
crystal system: trigonal
uncorrected energy: -39.03 eV per formula unit
ΔE_f: 94 kJ/mol of formula units

```
data_CoMo2Os
_cell_length_a 2.7245
_cell_length_b 2.7245
_cell_length_c 26.8682
_cell_angle_alpha 90.00
_cell_angle_beta 90.00
_cell_angle_gamma 120.00
_space_group_name_H-M_alt 'R 3 m'
_space_group_IT_number 160
_space_group_name_Hall 'R 3 -2"'
loop_
_atom_site_label
_atom_site_fract_x
_atom_site_fract_y
_atom_site_fract_z
Co1 0.0000 0.0000 0.0000
Mo1 0.0000 0.0000 0.5044
Mo2 0.0000 0.0000 0.7442
Os1 0.0000 0.0000 0.2535
```

Computed, not measured: an optimized crystal structure of Co2MoOs2 at the GGA-PBE level of DFT.

Calculated values
E above lowest polymorph: 0.000 eV per atom
crystal system: tetragonal
uncorrected energy: -46.61 eV per formula unit
ΔE_f: 86 kJ/mol of formula units

```
data_Co2MoOs2
_cell_length_a 7.0089
_cell_length_b 7.0089
_cell_length_c 2.6890
_cell_angle_alpha 90.00
_cell_angle_beta 90.00
_cell_angle_gamma 90.00
_space_group_name_H-M_alt 'P 4/m b m'
_space_group_IT_number 127
_space_group_name_Hall '-P 4 2ab'
loop_
_atom_site_label
_atom_site_fract_x
_atom_site_fract_y
_atom_site_fract_z
Co1 0.1189 0.3811 0.0000
Mo1 0.0000 0.0000 0.0000
Os1 0.1763 0.6763 0.5000
```

Computed, not measured: an optimized crystal structure of CoMo2Os at the GGA-PBE level of DFT.

Calculated values
E above lowest polymorph: 0.092 eV per atom
crystal system: monoclinic
uncorrected energy: -39.49 eV per formula unit
ΔE_f: 49 kJ/mol of formula units

```
data_CoMo2Os
_cell_length_a 8.9371
_cell_length_b 2.7647
_cell_length_c 4.7007
_cell_angle_alpha 90.00
_cell_angle_beta 100.66
_cell_angle_gamma 90.00
_space_group_name_H-M_alt 'C 1 m 1'
_space_group_IT_number 8
loop_
_space_group_symop_operation_xyz
'x,y,z'
'x,-y,z'
'x+1/2,y+1/2,z'
'x+1/2,-y+1/2,z'
loop_
_atom_site_label
_atom_site_fract_x
_atom_site_fract_y
_atom_site_fract_z
Co1 0.0000 0.0000 0.0000
Mo1 0.2575 0.0000 0.7962
Mo2 0.4913 0.0000 0.4974
Os1 0.2367 0.5000 0.2693
```

Computed, not measured: an optimized crystal structure of Co2MoOs2 at the GGA-PBE level of DFT.

Calculated values
E above lowest polymorph: 0.385 eV per atom
crystal system: tetragonal
uncorrected energy: -44.69 eV per formula unit
ΔE_f: 272 kJ/mol of formula units

```
data_Co2MoOs2
_cell_length_a 3.6198
_cell_length_b 3.6198
_cell_length_c 10.7690
_cell_angle_alpha 90.00
_cell_angle_beta 90.00
_cell_angle_gamma 90.00
_space_group_name_H-M_alt 'I 4/m m m'
_space_group_IT_number 139
_space_group_name_Hall '-I 4 2'
loop_
_atom_site_label
_atom_site_fract_x
_atom_site_fract_y
_atom_site_fract_z
Co1 0.0000 0.0000 0.0976
Mo1 0.0000 0.0000 0.5000
Os1 0.0000 0.5000 0.2500
```

Computed, not measured: an optimized crystal structure of CoMo2Os at the GGA-PBE level of DFT.

Calculated values
E above lowest polymorph: 0.152 eV per atom
crystal system: monoclinic
uncorrected energy: -39.25 eV per formula unit
ΔE_f: 72 kJ/mol of formula units

```
data_CoMo2Os
_cell_length_a 9.0103
_cell_length_b 2.7366
_cell_length_c 4.6813
_cell_angle_alpha 90.00
_cell_angle_beta 99.98
_cell_angle_gamma 90.00
_space_group_name_H-M_alt 'C 1 2/m 1'
_space_group_IT_number 12
loop_
_space_group_symop_operation_xyz
'x,y,z'
'-x,-y,-z'
'-x,y,-z'
'x,-y,z'
'x+1/2,y+1/2,z'
'-x+1/2,-y+1/2,-z'
'-x+1/2,y+1/2,-z'
'x+1/2,-y+1/2,z'
loop_
_atom_site_label
_atom_site_fract_x
_atom_site_fract_y
_atom_site_fract_z
Co1 0.0000 0.0000 0.0000
Mo1 0.2450 0.5000 0.2416
Os1 0.0000 0.5000 0.5000
```

Computed, not measured: an optimized crystal structure of CoMo2Os at the GGA-PBE level of DFT.

Calculated values
E above lowest polymorph: 0.000 eV per atom
crystal system: tetragonal
uncorrected energy: -39.86 eV per formula unit
ΔE_f: 14 kJ/mol of formula units

```
data_CoMo2Os
_cell_length_a 3.8564
_cell_length_b 3.8564
_cell_length_c 7.5998
_cell_angle_alpha 90.00
_cell_angle_beta 90.00
_cell_angle_gamma 90.00
_space_group_name_H-M_alt 'I 4/m m m'
_space_group_IT_number 139
_space_group_name_Hall '-I 4 2'
loop_
_atom_site_label
_atom_site_fract_x
_atom_site_fract_y
_atom_site_fract_z
Co1 0.0000 0.0000 0.0000
Mo1 0.0000 0.5000 0.2500
Os1 0.0000 0.0000 0.5000
```

Computed, not measured: an optimized crystal structure of CoMo2Os at the GGA-PBE level of DFT.

Calculated values
E above lowest polymorph: 0.165 eV per atom
crystal system: trigonal
uncorrected energy: -39.20 eV per formula unit
ΔE_f: 77 kJ/mol of formula units

```
data_CoMo2Os
_cell_length_a 2.7267
_cell_length_b 2.7267
_cell_length_c 26.6188
_cell_angle_alpha 90.00
_cell_angle_beta 90.00
_cell_angle_gamma 120.00
_space_group_name_H-M_alt 'R -3 m'
_space_group_IT_number 166
_space_group_name_Hall '-R 3 2"'
loop_
_atom_site_label
_atom_site_fract_x
_atom_site_fract_y
_atom_site_fract_z
Co1 0.0000 0.0000 0.0000
Mo1 0.0000 0.0000 0.2529
Os1 0.0000 0.0000 0.5000
```

Computed, not measured: an optimized crystal structure of CoMoOs2S at the GGA-PBE level of DFT.

Calculated values
ΔE_f (raw): 8.4 eV/f.u.
crystal system: tetragonal
uncorrected energy: -36.16 eV per formula unit

```
data_CoMoOs2S
_cell_length_a 4.5143
_cell_length_b 4.5143
_cell_length_c 3.9642
_cell_angle_alpha 90.00
_cell_angle_beta 90.00
_cell_angle_gamma 90.00
_space_group_name_H-M_alt 'P 4/m m m'
_space_group_IT_number 123
_space_group_name_Hall '-P 4 2'
loop_
_atom_site_label
_atom_site_fract_x
_atom_site_fract_y
_atom_site_fract_z
Co1 0.0000 0.0000 0.0000
Mo1 0.5000 0.5000 0.5000
Os1 0.0000 0.5000 0.0000
S1 0.0000 0.0000 0.5000
```

Computed, not measured: an optimized crystal structure of CoSbMo2Os at the GGA-PBE level of DFT.

Calculated values
ΔE_f (raw): 6.8 eV/f.u.
crystal system: tetragonal
uncorrected energy: -37.30 eV per formula unit

```
data_CoSbMo2Os
_cell_length_a 4.4109
_cell_length_b 4.4109
_cell_length_c 4.5588
_cell_angle_alpha 90.00
_cell_angle_beta 90.00
_cell_angle_gamma 90.00
_space_group_name_H-M_alt 'P 4/m m m'
_space_group_IT_number 123
_space_group_name_Hall '-P 4 2'
loop_
_atom_site_label
_atom_site_fract_x
_atom_site_fract_y
_atom_site_fract_z
Co1 0.0000 0.0000 0.0000
Sb1 0.0000 0.0000 0.5000
Mo1 0.0000 0.5000 0.0000
Os1 0.5000 0.5000 0.5000
```

Computed, not measured: an optimized crystal structure of ScCoMoOs at the GGA-PBE level of DFT.

Calculated values
crystal system: cubic
uncorrected energy: -36.02 eV per formula unit
ΔE_f: -51 kJ/mol of formula units

```
data_ScCoMoOs
_cell_length_a 6.2402
_cell_length_b 6.2402
_cell_length_c 6.2402
_cell_angle_alpha 90.00
_cell_angle_beta 90.00
_cell_angle_gamma 90.00
_space_group_name_H-M_alt 'F -4 3 m'
_space_group_IT_number 216
_space_group_name_Hall 'F -4 2 3'
loop_
_atom_site_label
_atom_site_fract_x
_atom_site_fract_y
_atom_site_fract_z
Sc1 0.0000 0.0000 0.0000
Co1 0.2500 0.2500 0.2500
Mo1 0.0000 0.0000 0.5000
Os1 0.2500 0.2500 0.7500
```

Computed, not measured: an optimized crystal structure of TaCoMoOs at the GGA-PBE level of DFT.

Calculated values
E above lowest polymorph: 0.028 eV per atom
crystal system: monoclinic
uncorrected energy: -41.11 eV per formula unit
ΔE_f: -9 kJ/mol of formula units

```
data_TaCoMoOs
_cell_length_a 4.4911
_cell_length_b 2.9506
_cell_length_c 4.5133
_cell_angle_alpha 90.00
_cell_angle_beta 94.54
_cell_angle_gamma 90.00
_space_group_name_H-M_alt 'P 1 m 1'
_space_group_IT_number 6
loop_
_space_group_symop_operation_xyz
'x,y,z'
'x,-y,z'
loop_
_atom_site_label
_atom_site_fract_x
_atom_site_fract_y
_atom_site_fract_z
Ta1 0.0000 0.0000 0.0000
Co1 0.4890 0.5000 0.0755
Mo1 0.5611 0.0000 0.5632
Os1 0.0615 0.5000 0.4975
```

Computed, not measured: an optimized crystal structure of TaCoMoOs at the GGA-PBE level of DFT.

Calculated values
E above lowest polymorph: 0.037 eV per atom
crystal system: tetragonal
uncorrected energy: -41.08 eV per formula unit
ΔE_f: -6 kJ/mol of formula units

```
data_TaCoMoOs
_cell_length_a 2.8119
_cell_length_b 2.8119
_cell_length_c 7.4322
_cell_angle_alpha 90.00
_cell_angle_beta 90.00
_cell_angle_gamma 90.00
_space_group_name_H-M_alt 'P 4 m m'
_space_group_IT_number 99
loop_
_space_group_symop_operation_xyz
'x,y,z'
'-y,x,z'
'-x,-y,z'
'y,-x,z'
'-x,y,z'
'y,x,z'
'x,-y,z'
'-y,-x,z'
loop_
_atom_site_label
_atom_site_fract_x
_atom_site_fract_y
_atom_site_fract_z
Ta1 0.0000 0.0000 0.0000
Co1 0.5000 0.5000 0.2456
Mo1 0.0000 0.0000 0.4777
Os1 0.5000 0.5000 0.7270
```

Computed, not measured: an optimized crystal structure of TaCoMoOs at the GGA-PBE level of DFT.

Calculated values
E above lowest polymorph: 0.086 eV per atom
crystal system: monoclinic
uncorrected energy: -40.88 eV per formula unit
ΔE_f: 13 kJ/mol of formula units

```
data_TaCoMoOs
_cell_length_a 9.1990
_cell_length_b 2.8424
_cell_length_c 4.6476
_cell_angle_alpha 90.00
_cell_angle_beta 102.28
_cell_angle_gamma 90.00
_space_group_name_H-M_alt 'C 1 m 1'
_space_group_IT_number 8
loop_
_space_group_symop_operation_xyz
'x,y,z'
'x,-y,z'
'x+1/2,y+1/2,z'
'x+1/2,-y+1/2,z'
loop_
_atom_site_label
_atom_site_fract_x
_atom_site_fract_y
_atom_site_fract_z
Ta1 0.0000 0.0000 0.0000
Co1 0.4882 0.0000 0.5041
Mo1 0.2234 0.0000 0.6896
Os1 0.2638 0.5000 0.2287
```